(i)
Compound: Cs2LiGe
Source: the Alexandria database
Functional: PBE-GGA
Structure: relaxed

* spin magnetization: 1.014 μB per formula unit

a = 6.416 Å, b = 6.416 Å, c = 6.416 Å
α = 60.00°, β = 60.00°, γ = 60.00°
Fractional coordinates of all 4 atoms:
Cs: 0.250 0.250 0.250
Cs: 0.750 0.750 0.750
Li: 0.000 0.000 0.000
Ge: 0.500 0.500 0.500

***

(ii)
Compound: Cs2LiGe
Source: the Alexandria database
Functional: PBE-GGA
Structure: relaxed

* spin magnetization: 0.457 μB per formula unit

a = 13.071 Å, b = 13.071 Å, c = 13.071 Å
α = 156.75°, β = 156.75°, γ = 33.11°
Fractional coordinates of all 8 atoms:
Cs: 0.125 0.625 0.000
Cs: 0.375 0.375 0.500
Cs: 0.625 0.125 0.000
Cs: 0.875 0.875 0.500
Li: 0.000 0.000 0.000
Li: 0.750 0.250 0.500
Ge: 0.250 0.750 0.500
Ge: 0.500 0.500 0.000

***

Q: What are the energies relative to the best structure? A: (i) 0.0; (ii) 12.3, in kJ/mol of atoms.

***

(i)
Compound: CsLi2Ge2
Source: the Alexandria database
Functional: PBE-GGA
Structure: relaxed

* spin magnetization: 0.000 μB per formula unit

a = 8.593 Å, b = 8.593 Å, c = 3.445 Å
α = 90.00°, β = 90.00°, γ = 90.00°
Fractional coordinates of all 10 atoms:
Cs: 0.000 0.000 0.000
Cs: 0.500 0.500 0.000
Li: 0.141 0.359 0.000
Li: 0.359 0.859 0.000
Li: 0.641 0.141 0.000
Li: 0.859 0.641 0.000
Ge: 0.106 0.606 0.500
Ge: 0.394 0.106 0.500
Ge: 0.606 0.894 0.500
Ge: 0.894 0.394 0.500

***

(ii)
Compound: CsLi2Ge2
Source: the Alexandria database
Functional: PBE-GGA
Structure: relaxed

* spin magnetization: 0.000 μB per formula unit

a = 6.108 Å, b = 6.108 Å, c = 6.108 Å
α = 129.42°, β = 129.42°, γ = 74.34°
Fractional coordinates of all 5 atoms:
Cs: 0.000 0.000 0.000
Li: 0.250 0.750 0.500
Li: 0.750 0.250 0.500
Ge: 0.379 0.379 0.000
Ge: 0.621 0.621 0.000

***

Q: What are the energies relative to the best structure? A: (i) 7.8; (ii) 0.0, in kJ/mol of atoms.

***

(i)
Compound: CsLiGe
Source: the Alexandria database
Functional: PBE-GGA
Structure: relaxed

* spin magnetization: 0.000 μB per formula unit

a = 13.021 Å, b = 13.021 Å, c = 4.078 Å
α = 90.00°, β = 90.00°, γ = 160.85°
Fractional coordinates of all 6 atoms:
Cs: 0.156 0.844 0.750
Cs: 0.844 0.156 0.250
Li: 0.032 0.968 0.250
Li: 0.968 0.032 0.750
Ge: 0.467 0.533 0.250
Ge: 0.533 0.467 0.750

***

(ii)
Compound: CsLiGe
Source: the Alexandria database
Functional: PBE-GGA
Structure: relaxed

* spin magnetization: 0.000 μB per formula unit

a = 4.645 Å, b = 4.645 Å, c = 12.530 Å
α = 89.24°, β = 88.86°, γ = 60.01°
Fractional coordinates of all 6 atoms:
Cs: 0.181 0.170 0.205
Cs: 0.819 0.830 0.795
Li: 0.166 0.166 0.519
Li: 0.834 0.834 0.481
Ge: 0.495 0.499 0.595
Ge: 0.505 0.501 0.405

***

Q: What are the energies relative to the best structure? A: (i) 10.1; (ii) 0.0, in kJ/mol of atoms.

***

(i)
Compound: CsLiGe2
Source: the Alexandria database
Functional: PBE-GGA
Structure: relaxed

* spin magnetization: 0.000 μB per formula unit

a = 10.437 Å, b = 10.437 Å, c = 10.437 Å
α = 151.04°, β = 151.04°, γ = 41.41°
Fractional coordinates of all 8 atoms:
Cs: 0.375 0.625 0.750
Cs: 0.625 0.375 0.250
Li: 0.125 0.875 0.250
Li: 0.875 0.125 0.750
Ge: 0.000 0.000 0.000
Ge: 0.000 0.000 0.500
Ge: 0.000 0.500 0.000
Ge: 0.500 0.000 0.500

***

(ii)
Compound: CsLiGe2
Source: the Alexandria database
Functional: PBE-GGA
Structure: relaxed

* spin magnetization: 0.000 μB per formula unit

a = 5.422 Å, b = 5.422 Å, c = 5.422 Å
α = 60.00°, β = 60.00°, γ = 60.00°
Fractional coordinates of all 4 atoms:
Cs: 0.000 0.000 0.000
Li: 0.500 0.500 0.500
Ge: 0.250 0.250 0.250
Ge: 0.750 0.750 0.750

***

Q: What are the energies relative to the best structure? A: (i) 0.0; (ii) 40.2, in kJ/mol of atoms.

***

(i)
Compound: CsMg2Ge2
Source: the Alexandria database
Functional: PBE-GGA
Structure: relaxed

* spin magnetization: 0.000 μB per formula unit

a = 6.529 Å, b = 6.529 Å, c = 6.529 Å
α = 135.47°, β = 135.47°, γ = 64.80°
Fractional coordinates of all 5 atoms:
Cs: 0.000 0.000 0.000
Mg: 0.250 0.750 0.500
Mg: 0.750 0.250 0.500
Ge: 0.383 0.383 0.000
Ge: 0.617 0.617 0.000

***

(ii)
Compound: CsMg2Ge2
Source: the Alexandria database
Functional: PBE-GGA
Structure: relaxed

* spin magnetization: 0.000 μB per formula unit

a = 9.094 Å, b = 9.094 Å, c = 3.230 Å
α = 90.00°, β = 90.00°, γ = 90.00°
Fractional coordinates of all 10 atoms:
Cs: 0.000 0.000 0.000
Cs: 0.500 0.500 0.000
Mg: 0.129 0.371 0.500
Mg: 0.371 0.871 0.500
Mg: 0.629 0.129 0.500
Mg: 0.871 0.629 0.500
Ge: 0.143 0.643 0.000
Ge: 0.357 0.143 0.000
Ge: 0.643 0.857 0.000
Ge: 0.857 0.357 0.000

***

(iii)
Compound: CsMg2Ge2
Source: the Alexandria database
Functional: PBE-GGA
Structure: relaxed

* spin magnetization: 0.000 μB per formula unit

a = 8.995 Å, b = 8.995 Å, c = 3.114 Å
α = 90.00°, β = 90.00°, γ = 90.00°
Fractional coordinates of all 10 atoms:
Cs: 0.000 0.000 0.000
Cs: 0.500 0.500 0.000
Mg: 0.127 0.373 0.000
Mg: 0.373 0.873 0.000
Mg: 0.627 0.127 0.000
Mg: 0.873 0.627 0.000
Ge: 0.153 0.653 0.500
Ge: 0.347 0.153 0.500
Ge: 0.653 0.847 0.500
Ge: 0.847 0.347 0.500

***

Q: What are the energies relative to the best structure? A: (i) 0.0; (ii) 18.2; (iii) 13.1, in kJ/mol of atoms.

***

(i)
Compound: CsGeMo
Source: the Alexandria database
Functional: PBE-GGA
Structure: relaxed

* spin magnetization: 0.000 μB per formula unit

a = 4.363 Å, b = 4.364 Å, c = 13.011 Å
α = 83.47°, β = 83.16°, γ = 60.03°
Fractional coordinates of all 6 atoms:
Cs: 0.240 0.230 0.204
Cs: 0.760 0.770 0.796
Ge: 0.475 0.479 0.601
Ge: 0.525 0.521 0.399
Mo: 0.161 0.161 0.525
Mo: 0.839 0.839 0.475

***

(ii)
Compound: CsGeMo
Source: the Alexandria database
Functional: PBE-GGA
Structure: relaxed

* spin magnetization: 0.000 μB per formula unit

a = 4.392 Å, b = 4.392 Å, c = 13.118 Å
α = 80.98°, β = 80.87°, γ = 60.04°
Fractional coordinates of all 6 atoms:
Cs: 0.000 0.000 0.000
Cs: 0.191 0.185 0.399
Ge: 0.728 0.725 0.809
Ge: 0.794 0.789 0.602
Mo: 0.099 0.095 0.690
Mo: 0.425 0.421 0.715

***

Q: What are the energies relative to the best structure? A: (i) 0.0; (ii) 3.7, in kJ/mol of atoms.

***

(i)
Compound: CsGeMo
Source: the Alexandria database
Functional: PBE-GGA
Structure: relaxed

* spin magnetization: 0.036 μB per formula unit

a = 13.430 Å, b = 13.430 Å, c = 4.165 Å
α = 90.12°, β = 90.12°, γ = 15.58°
Fractional coordinates of all 6 atoms:
Cs: 0.102 0.102 0.248
Cs: 0.898 0.898 0.752
Ge: 0.317 0.317 0.251
Ge: 0.683 0.683 0.749
Mo: 0.256 0.256 0.750
Mo: 0.744 0.744 0.250

***

(ii)
Compound: CsGeMo
Source: the Alexandria database
Functional: PBE-GGA
Structure: relaxed

* spin magnetization: 0.000 μB per formula unit

a = 4.415 Å, b = 4.415 Å, c = 13.376 Å
α = 92.83°, β = 91.12°, γ = 119.99°
Fractional coordinates of all 6 atoms:
Cs: 0.000 0.000 0.000
Cs: 0.109 0.145 0.616
Ge: 0.368 0.713 0.195
Ge: 0.737 0.427 0.396
Mo: 0.056 0.075 0.315
Mo: 0.400 0.756 0.375

***

(iii)
Compound: CsGeMo
Source: the Alexandria database
Functional: PBE-GGA
Structure: relaxed

* spin magnetization: 0.000 μB per formula unit

a = 4.410 Å, b = 4.411 Å, c = 13.245 Å
α = 84.53°, β = 84.80°, γ = 60.02°
Fractional coordinates of all 6 atoms:
Cs: 0.000 0.000 0.000
Cs: 0.438 0.455 0.387
Ge: 0.371 0.378 0.777
Ge: 0.740 0.752 0.574
Mo: 0.053 0.062 0.691
Mo: 0.708 0.716 0.755

***

Q: What are the energies relative to the best structure? A: (i) 0.0; (ii) 5.9; (iii) 4.3, in kJ/mol of atoms.

***

(i)
Compound: CsGeMo
Source: the Alexandria database
Functional: PBE-GGA
Structure: relaxed

* spin magnetization: 0.000 μB per formula unit

a = 3.607 Å, b = 4.702 Å, c = 13.275 Å
α = 98.49°, β = 91.49°, γ = 112.50°
Fractional coordinates of all 6 atoms:
Cs: 0.134 0.326 0.198
Cs: 0.866 0.674 0.802
Ge: 0.480 0.938 0.603
Ge: 0.520 0.062 0.397
Mo: 0.169 0.332 0.538
Mo: 0.831 0.668 0.462

***

(ii)
Compound: CsGeMo
Source: the Alexandria database
Functional: PBE-GGA
Structure: relaxed

* spin magnetization: 0.000 μB per formula unit

a = 3.400 Å, b = 3.401 Å, c = 14.591 Å
α = 88.79°, β = 83.84°, γ = 89.99°
Fractional coordinates of all 6 atoms:
Cs: 0.102 0.221 0.323
Cs: 0.898 0.779 0.677
Ge: 0.315 0.263 0.858
Ge: 0.685 0.737 0.142
Mo: 0.229 0.246 0.047
Mo: 0.771 0.754 0.953

***

Q: What are the energies relative to the best structure? A: (i) 0.0; (ii) 2.4, in kJ/mol of atoms.

***

(i)
Compound: CsGe3Mo
Source: the Alexandria database
Functional: PBE-GGA
Structure: relaxed

* spin magnetization: 0.000 μB per formula unit

a = 5.027 Å, b = 5.027 Å, c = 5.027 Å
α = 90.00°, β = 90.00°, γ = 90.00°
Fractional coordinates of all 5 atoms:
Cs: 0.000 0.000 0.000
Ge: 0.000 0.500 0.500
Ge: 0.500 0.000 0.500
Ge: 0.500 0.500 0.000
Mo: 0.500 0.500 0.500

***

(ii)
Compound: CsGe3Mo
Source: the Alexandria database
Functional: PBE-GGA
Structure: relaxed

* spin magnetization: 0.276 μB per formula unit

a = 5.443 Å, b = 5.443 Å, c = 5.443 Å
α = 90.00°, β = 90.00°, γ = 90.00°
Fractional coordinates of all 5 atoms:
Cs: 0.000 0.000 0.000
Ge: 0.000 0.000 0.500
Ge: 0.000 0.500 0.000
Ge: 0.500 0.000 0.000
Mo: 0.500 0.500 0.500

***

Q: What are the energies relative to the best structure? A: (i) 0.0; (ii) 253.4, in kJ/mol of atoms.

***

(i)
Compound: CsGeMo3
Source: the Alexandria database
Functional: PBE-GGA
Structure: relaxed

* spin magnetization: 3.560 μB per formula unit

a = 4.906 Å, b = 4.906 Å, c = 4.906 Å
α = 90.00°, β = 90.00°, γ = 90.00°
Fractional coordinates of all 5 atoms:
Cs: 0.000 0.000 0.000
Ge: 0.500 0.500 0.500
Mo: 0.000 0.500 0.500
Mo: 0.500 0.000 0.500
Mo: 0.500 0.500 0.000

***

(ii)
Compound: CsGeMo3
Source: the Alexandria database
Functional: PBE-GGA
Structure: relaxed

* spin magnetization: 2.920 μB per formula unit

a = 4.956 Å, b = 4.956 Å, c = 4.956 Å
α = 90.00°, β = 90.00°, γ = 90.00°
Fractional coordinates of all 5 atoms:
Cs: 0.000 0.000 0.000
Ge: 0.500 0.500 0.500
Mo: 0.000 0.000 0.500
Mo: 0.000 0.500 0.000
Mo: 0.500 0.000 0.000

***

Q: What are the energies relative to the best structure? A: (i) 0.0; (ii) 130.0, in kJ/mol of atoms.

***

(i)
Compound: CsGeSeN2
Source: the Alexandria database
Functional: PBE-GGA
Structure: relaxed

* spin magnetization: 1.365 μB per formula unit

a = 4.291 Å, b = 4.291 Å, c = 6.316 Å
α = 90.00°, β = 90.00°, γ = 90.00°
Fractional coordinates of all 5 atoms:
Cs: 0.000 0.000 0.000
Ge: 0.500 0.500 0.000
Se: 0.000 0.000 0.500
N: 0.000 0.500 0.500
N: 0.500 0.000 0.500

***

(ii)
Compound: CsGeSeN2
Source: the Alexandria database
Functional: PBE-GGA
Structure: relaxed

* spin magnetization: 2.161 μB per formula unit

a = 4.386 Å, b = 4.386 Å, c = 7.124 Å
α = 90.00°, β = 90.00°, γ = 90.00°
Fractional coordinates of all 5 atoms:
Cs: 0.000 0.000 0.000
Ge: 0.500 0.500 0.500
Se: 0.000 0.000 0.500
N: 0.000 0.500 0.000
N: 0.500 0.000 0.000

***

(iii)
Compound: CsGeSeN2
Source: the Alexandria database
Functional: PBE-GGA
Structure: relaxed

* spin magnetization: 3.119 μB per formula unit

a = 4.475 Å, b = 4.475 Å, c = 5.178 Å
α = 90.00°, β = 90.00°, γ = 90.00°
Fractional coordinates of all 5 atoms:
Cs: 0.000 0.000 0.000
Ge: 0.500 0.500 0.500
Se: 0.500 0.500 0.000
N: 0.000 0.500 0.500
N: 0.500 0.000 0.500

***

Q: What are the energies relative to the best structure? A: (i) 82.9; (ii) 109.9; (iii) 0.0, in kJ/mol of atoms.

***

(i)
Compound: CsGeTe2N
Source: the Alexandria database
Functional: PBE-GGA
Structure: relaxed

* spin magnetization: 0.001 μB per formula unit

a = 6.466 Å, b = 6.466 Å, c = 4.183 Å
α = 90.00°, β = 90.00°, γ = 90.00°
Fractional coordinates of all 5 atoms:
Cs: 0.000 0.000 0.000
Ge: 0.500 0.500 0.500
Te: 0.000 0.500 0.000
Te: 0.500 0.000 0.000
N: 0.000 0.000 0.500

***

(ii)
Compound: CsGeTe2N
Source: the Alexandria database
Functional: PBE-GGA
Structure: relaxed

* spin magnetization: 0.000 μB per formula unit

a = 6.495 Å, b = 6.495 Å, c = 3.509 Å
α = 90.00°, β = 90.00°, γ = 90.00°
Fractional coordinates of all 5 atoms:
Cs: 0.000 0.000 0.000
Ge: 0.500 0.500 0.500
Te: 0.000 0.500 0.500
Te: 0.500 0.000 0.500
N: 0.500 0.500 0.000

***

Q: What are the energies relative to the best structure? A: (i) 143.2; (ii) 0.0, in kJ/mol of atoms.